# 1
Material: PmPr5Sn4
Method: DFT, PBE
State: optimized geometry

The total energy comes out at -5.031 eV per atom.

The structure belongs to space group C2/m (No. 12); the cell edges are 16.7043, 5.5142 and 7.3389 Å and the angles 90.00°, 90.31° and 90.00°. The distinct sites, in fractional coordinates, are Pm at (0.0000, 0.0000, 0.0000), Pr at (0.0000, 0.0000, 0.5000), Pr at (0.1658, 0.5000, 0.4946), Pr at (0.1668, 0.5000, 0.0080), Sn at (0.0083, 0.5000, 0.7538) and Sn at (0.1746, 0.0000, 0.2497).

# 2
Material: SiGeRhSe2
Method: DFT, PBE
State: optimized geometry

The value obtained for the formation energy without anion corrections is 0.982 eV per atom.

The structure belongs to space group P4/mmm (No. 123); the cell edges are 4.9216, 4.9216 and 4.6122 Å and the angles 90.00°, 90.00° and 90.00°. The distinct sites, in fractional coordinates, are Si at (0.0000, 0.0000, 0.0000), Ge at (0.0000, 0.0000, 0.5000), Rh at (0.5000, 0.5000, 0.0000) and Se at (0.0000, 0.5000, 0.5000).

# 3
Material: TaNb2N
Method: DFT, PBE
State: optimized geometry

The value obtained for the formation energy without anion corrections is -0.128 eV per atom.

The structure belongs to space group R-3m (No. 166, hexagonal axes); the cell edges are 2.9878, 2.9878 and 24.4526 Å and the angles 90.00°, 90.00° and 120.00°. The distinct sites, in fractional coordinates, are Ta at (0.0000, 0.0000, 0.0000), Nb at (0.0000, 0.0000, 0.1113) and N at (0.0000, 0.0000, 0.5000).